This record from Alexandria via LeMat-Bulk describes Zr2MnInC after structural relaxation. The functional is PBE-GGA.

Values from the calculation:
Space group: No. 123
Total magnetization, μB per formula unit: 1.74
E, eV/f.u.: -39.925

POSCAR file:
```
Zr2MnInC
1.0
4.6477 0.0000 0.0000
0.0000 4.6477 0.0000
0.0000 0.0000 3.9034
C In Zr Mn
1 1 2 1
Direct
0.0000 0.0000 0.0000
0.5000 0.5000 0.5000
0.5000 0.0000 0.0000
0.0000 0.5000 0.0000
0.0000 0.0000 0.5000
```

=====

This record from Alexandria via LeMat-Bulk describes TlIr2Pt after structural relaxation. The functional is PBE-GGA.

Values from the calculation:
Space group: No. 166
Total magnetization, μB per formula unit: 0.00
ΔE to the lowest computed polymorph, eV/atom: 0.1771
E, eV/f.u.: -24.139

POSCAR file:
```
TlIr2Pt
1.0
9.0991 -0.0197 -0.0116
8.6275 2.8912 -0.0116
8.6275 1.3976 2.5310
Tl Ir Pt
1 2 1
Direct
0.7500 0.7500 0.7500
0.5042 0.5042 0.5042
0.9958 0.9958 0.9958
0.2500 0.2500 0.2500
```

=====

This record from Alexandria via LeMat-Bulk describes Pr3PuAs4 after structural relaxation. The functional is PBE-GGA.

Values from the calculation:
Space group: No. 65
Total magnetization, μB per formula unit: 4.93
ΔE to the lowest computed polymorph, eV/atom: 0.0000
E, eV/f.u.: -58.188

POSCAR file:
```
Pr3PuAs4
1.0
4.2710 0.0000 0.0000
0.0000 7.3829 -0.0698
0.0000 -2.3939 6.9844
Pr As Pu
3 4 1
Direct
0.0000 0.5000 0.0000
0.0000 0.0000 0.5000
0.5000 0.5000 0.5000
0.5000 0.2453 0.7547
0.0000 0.7593 0.7593
0.5000 0.7547 0.2453
0.0000 0.2407 0.2407
0.5000 0.0000 0.0000
```

=====

This record from Alexandria via LeMat-Bulk describes LaYGa2Pd5 after structural relaxation. The functional is PBE-GGA.

Values from the calculation:
Space group: No. 123
Total magnetization, μB per formula unit: 0.00
E, eV/f.u.: -50.490

POSCAR file:
```
LaYGa2Pd5
1.0
4.2808 0.0000 0.0000
0.0000 4.2808 0.0000
0.0000 0.0000 9.2790
Pd Ga Y La
5 2 1 1
Direct
0.5000 0.0000 0.7293
0.5000 0.0000 0.2707
0.5000 0.5000 0.5000
0.0000 0.5000 0.7293
0.0000 0.5000 0.2707
0.5000 0.5000 0.1334
0.5000 0.5000 0.8666
0.0000 0.0000 0.0000
0.0000 0.0000 0.5000
```

=====

This record from Alexandria via LeMat-Bulk describes Nd2BiTe after structural relaxation. The functional is PBE-GGA.

Values from the calculation:
Space group: No. 166
Total magnetization, μB per formula unit: 0.00
ΔE to the lowest computed polymorph, eV/atom: 0.0078
Formation energy without anion corrections, meV per atom: -1205
E, eV/f.u.: -21.379

POSCAR file:
```
Nd2BiTe
1.0
-2.2157 3.8324 1.1139
-2.3373 -3.8477 -0.7542
2.8298 -3.0234 6.6941
Nd Bi Te
2 1 1
Direct
0.4993 0.7496 0.2489
0.5007 0.2504 0.7511
0.0000 0.0000 0.0000
0.0000 0.5000 0.5000
```

=====

This record from Alexandria via LeMat-Bulk describes TmCdNi2 after structural relaxation. The functional is PBE-GGA.

Values from the calculation:
Space group: No. 123
Total magnetization, μB per formula unit: 0.00
ΔE to the lowest computed polymorph, eV/atom: 0.0646
E, eV/f.u.: -17.797

POSCAR file:
```
TmCdNi2
1.0
-1.6931 -2.2007 1.8130
-0.9478 -1.5543 -2.7718
4.9797 -3.5800 0.3047
Ni Cd Tm
2 1 1
Direct
0.0000 0.0000 0.7372
0.0000 0.0000 0.2628
0.5000 0.5000 0.5000
0.5000 0.5000 0.0000
```